1.
# LaAlI2

A geometry-optimized LaAlI2 structure (PBE, Alexandria).

Calculated values
ΔE to the lowest computed polymorph (meV/atom): 0
E_form (uncorrected) (eV per atom): -0.456
Energy (eV per atom): -3.40
Magnetization (μB per atom): 0.40

abc: 5.6257 5.6257 5.6257
angles: 60.00 60.00 60.00
Fractional positions:
1 I 0.2500 0.2500 0.2500
2 I 0.7500 0.7500 0.7500
3 La 0.5000 0.5000 0.5000
4 Al 0.0000 0.0000 0.0000

***

2.
# La4Al2I5

A geometry-optimized La4Al2I5 structure (PBE, Alexandria).

Calculated values
E_form (uncorrected) (eV per atom): -0.928
Energy (eV per atom): -4.11
Magnetization (μB per atom): 0.00

abc: 4.4272 8.9960 12.7531
angles: 87.95 100.00 90.00
Fractional positions:
1 La 0.6636 0.5546 0.3271
2 La 0.3364 0.4454 0.6729
3 La 0.9839 0.2838 0.9677
4 La 0.0161 0.7162 0.0323
5 I 0.7897 0.6836 0.5795
6 I 0.1433 0.8132 0.2867
7 I 0.2103 0.3164 0.4205
8 I 0.5000 0.0000 0.0000
9 I 0.8567 0.1868 0.7133
10 Al 0.4510 0.5251 0.9019
11 Al 0.5490 0.4749 0.0981

***

Please write out number 1 again, unchanged.
# LaAlI2

A geometry-optimized LaAlI2 structure (PBE, Alexandria).

Calculated values
ΔE to the lowest computed polymorph (meV/atom): 0
E_form (uncorrected) (eV per atom): -0.456
Energy (eV per atom): -3.40
Magnetization (μB per atom): 0.40

abc: 5.6257 5.6257 5.6257
angles: 60.00 60.00 60.00
Fractional positions:
1 I 0.2500 0.2500 0.2500
2 I 0.7500 0.7500 0.7500
3 La 0.5000 0.5000 0.5000
4 Al 0.0000 0.0000 0.0000

***

- Which formula does entry 2 have?
  La4Al2I5

***

- The highest magnetization belongs to which entry?
  LaAlI2